1.
# Pm2NiGe3Rh4

Pm2NiGe3Rh4 after structural relaxation (PBE, the Alexandria database).

Calculated values
E_tot ... -66.3 eV for the cell shown
ΔH_f (0 K) ... -0.780 eV/atom

Cell and atoms, written as CIF:
```
data_Pm2NiGe3Rh4
_chemical_formula_sum 'Pm2 Ni1 Ge3 Rh4'
_cell_length_a 4.1928
_cell_length_b 4.1928
_cell_length_c 10.2346
_cell_angle_alpha 90.00
_cell_angle_beta 90.00
_cell_angle_gamma 90.00
_symmetry_space_group_name_H-M 'P -4 m 2'
_symmetry_Int_Tables_number 115
_symmetry_space_group_name_Hall 'P -4 -2'
loop_
_atom_site_label
_atom_site_type_symbol
_atom_site_fract_x
_atom_site_fract_y
_atom_site_fract_z
_atom_site_occupancy
Pm1 Pm 0.0000 0.5000 0.2441 1
Ni1 Ni 0.5000 0.5000 0.0000 1
Ge1 Ge 0.0000 0.0000 0.0000 1
Ge2 Ge 0.0000 0.5000 0.6306 1
Rh1 Rh 0.0000 0.0000 0.5000 1
Rh2 Rh 0.0000 0.5000 0.8694 1
Rh3 Rh 0.5000 0.5000 0.5000 1
```

2.
# PmNiGe2Rh

PmNiGe2Rh after structural relaxation (PBE, the Alexandria database).

Calculated values
E_tot ... -61.8 eV for the cell shown
ΔH_f (0 K) ... -0.753 eV/atom

Cell and atoms, written as CIF:
```
data_PmNiGe2Rh
_chemical_formula_sum 'Pm2 Ni2 Ge4 Rh2'
_cell_length_a 4.1351
_cell_length_b 4.1351
_cell_length_c 10.3350
_cell_angle_alpha 90.00
_cell_angle_beta 90.00
_cell_angle_gamma 90.00
_symmetry_space_group_name_H-M 'I -4 m 2'
_symmetry_Int_Tables_number 119
_symmetry_space_group_name_Hall 'I -4 -2'
loop_
_atom_site_label
_atom_site_type_symbol
_atom_site_fract_x
_atom_site_fract_y
_atom_site_fract_z
_atom_site_occupancy
Pm1 Pm 0.0000 0.0000 0.0000 1
Ni1 Ni 0.0000 0.5000 0.7500 1
Ge1 Ge 0.0000 0.0000 0.3755 1
Rh1 Rh 0.0000 0.5000 0.2500 1
```

3.
# PmNiGe2Ru

PmNiGe2Ru after structural relaxation (PBE, the Alexandria database).

Calculated values
E_tot ... -64.6 eV for the cell shown
ΔH_f (0 K) ... -0.649 eV/atom

Cell and atoms, written as CIF:
```
data_PmNiGe2Ru
_chemical_formula_sum 'Pm2 Ni2 Ge4 Ru2'
_cell_length_a 4.0765
_cell_length_b 4.0765
_cell_length_c 10.5969
_cell_angle_alpha 90.00
_cell_angle_beta 90.00
_cell_angle_gamma 90.00
_symmetry_space_group_name_H-M 'I -4 m 2'
_symmetry_Int_Tables_number 119
_symmetry_space_group_name_Hall 'I -4 -2'
loop_
_atom_site_label
_atom_site_type_symbol
_atom_site_fract_x
_atom_site_fract_y
_atom_site_fract_z
_atom_site_occupancy
Pm1 Pm 0.0000 0.0000 0.0000 1
Ni1 Ni 0.0000 0.5000 0.2500 1
Ge1 Ge 0.0000 0.0000 0.3747 1
Ru1 Ru 0.0000 0.5000 0.7500 1
```

4.
# Pm2Ni4Ge3Ru

Pm2Ni4Ge3Ru after structural relaxation (PBE, the Alexandria database).

Calculated values
E_tot ... -61.2 eV for the cell shown
ΔH_f (0 K) ... -0.541 eV/atom

Cell and atoms, written as CIF:
```
data_Pm2Ni4Ge3Ru
_chemical_formula_sum 'Pm2 Ni4 Ge3 Ru1'
_cell_length_a 4.0741
_cell_length_b 4.0741
_cell_length_c 10.0164
_cell_angle_alpha 90.00
_cell_angle_beta 90.00
_cell_angle_gamma 90.00
_symmetry_space_group_name_H-M 'P -4 m 2'
_symmetry_Int_Tables_number 115
_symmetry_space_group_name_Hall 'P -4 -2'
loop_
_atom_site_label
_atom_site_type_symbol
_atom_site_fract_x
_atom_site_fract_y
_atom_site_fract_z
_atom_site_occupancy
Pm1 Pm 0.0000 0.5000 0.2483 1
Ni1 Ni 0.0000 0.0000 0.0000 1
Ni2 Ni 0.0000 0.5000 0.6347 1
Ni3 Ni 0.5000 0.5000 0.0000 1
Ge1 Ge 0.0000 0.5000 0.8741 1
Ge2 Ge 0.5000 0.5000 0.5000 1
Ru1 Ru 0.0000 0.0000 0.5000 1
```

The highest ΔH_f (0 K) belongs to which entry? Pm2Ni4Ge3Ru